First-principles (PBE) data for a geometry-optimized Sm3Si6Pd2Rh structure, as listed in Alexandria.

a = 5.775 Å, b = 5.775 Å, c = 7.949 Å
α = 90.00°, β = 90.00°, γ = 120.00°
Positions (direct):
1 Sm 0.000 0.000 0.000
2 Sm 0.333 0.667 0.626
3 Sm 0.667 0.333 0.374
4 Si 0.191 0.382 0.294
5 Si 0.191 0.809 0.294
6 Si 0.382 0.191 0.706
7 Si 0.618 0.809 0.294
8 Si 0.809 0.191 0.706
9 Si 0.809 0.618 0.706
10 Pd 0.333 0.667 0.037
11 Pd 0.667 0.333 0.963
12 Rh 0.000 0.000 0.500

Calculated values
**Volume**: 229.6 Å³/cell
**E_tot**: -5.90 eV per atom
**Symmetry**: P-3m1 (164)
**Uncorrected formation energy**: -0.53 eV per atom


First-principles (PBE) data for a geometry-optimized Sm3Si6PdRh2 structure, as listed in Alexandria.

a = 5.368 Å, b = 5.368 Å, c = 9.174 Å
α = 90.00°, β = 90.00°, γ = 120.00°
Positions (direct):
1 Sm 0.000 0.000 0.000
2 Sm 0.333 0.667 0.582
3 Sm 0.667 0.333 0.418
4 Si 0.169 0.337 0.276
5 Si 0.169 0.831 0.276
6 Si 0.337 0.169 0.724
7 Si 0.663 0.831 0.276
8 Si 0.831 0.169 0.724
9 Si 0.831 0.663 0.724
10 Pd 0.000 0.000 0.500
11 Rh 0.333 0.667 0.075
12 Rh 0.667 0.333 0.925

Calculated values
**Volume**: 229.0 Å³/cell
**E_tot**: -6.05 eV per atom
**Symmetry**: P-3m1 (164)
**Uncorrected formation energy**: -0.50 eV per atom


First-principles (PBE) data for a geometry-optimized SrSi3PdRh structure, as listed in Alexandria.

a = 7.257 Å, b = 7.257 Å, c = 5.929 Å
α = 90.00°, β = 90.00°, γ = 128.75°
Positions (direct):
1 Sr 0.244 0.756 0.750
2 Sr 0.756 0.244 0.250
3 Si 0.214 0.786 0.250
4 Si 0.294 0.294 0.000
5 Si 0.294 0.294 0.500
6 Si 0.706 0.706 0.000
7 Si 0.706 0.706 0.500
8 Si 0.786 0.214 0.750
9 Pd 0.386 0.614 0.250
10 Pd 0.614 0.386 0.750
11 Rh 0.045 0.955 0.250
12 Rh 0.955 0.045 0.750

Calculated values
**Volume**: 243.5 Å³/cell
**E_tot**: -5.52 eV per atom
**Symmetry**: Cmcm (63)
**Uncorrected formation energy**: -0.44 eV per atom


First-principles (PBE) data for a geometry-optimized SrSi2PdRh structure, as listed in Alexandria.

a = 5.968 Å, b = 5.968 Å, c = 5.968 Å
α = 138.73°, β = 138.73°, γ = 59.78°
Positions (direct):
1 Sr 0.000 0.000 0.000
2 Si 0.373 0.373 0.000
3 Si 0.627 0.627 0.000
4 Pd 0.250 0.750 0.500
5 Rh 0.750 0.250 0.500

Calculated values
**Volume**: 91.6 Å³/cell
**E_tot**: -5.80 eV per atom
**Symmetry**: I-4m2 (119)
**Uncorrected formation energy**: -0.79 eV per atom


Which of these has the lowest volume?
SrSi2PdRh